# 1
The following is a PBE-GGA calculation of a relaxed UGa2 crystal, from OQMD.

Output
Total energy in eV/atom: -5.85
V in Å³/atom: 20.55
Calculated density in g cm⁻³: 10.17
Space group: No. 191
Crystal system: hexagonal

abc: 4.226 4.226 3.987
angles: 90.00 90.00 120.00
Positions (direct):
U 0.000 0.000 0.000
Ga 0.333 0.667 0.500
Ga 0.667 0.333 0.500

# 2
The following is a PBE-GGA calculation of a relaxed UGa2 crystal, from OQMD.

Output
Total energy in eV/atom: -3.79
V in Å³/atom: 100.08
Calculated density in g cm⁻³: 2.09
Space group: No. 227
Crystal system: cubic

abc: 9.470 9.470 9.470
angles: 60.00 60.00 60.00
Positions (direct):
U 0.125 0.125 0.125
U 0.875 0.875 0.875
Ga 0.000 0.000 0.000
Ga 0.000 0.000 0.500
Ga 0.000 0.500 0.000
Ga 0.500 0.000 0.000

# 3
The following is a PBE-GGA calculation of a relaxed UZnGa crystal, from OQMD.

Output
Total energy in eV/atom: -4.90
V in Å³/atom: 21.23
Calculated density in g cm⁻³: 9.73
Space group: No. 216
Crystal system: cubic

abc: 6.339 6.339 6.339
angles: 90.00 90.00 90.00
Positions (direct):
U 0.000 0.000 0.000
U 0.000 0.500 0.500
U 0.500 0.000 0.500
U 0.500 0.500 0.000
Zn 0.250 0.250 0.750
Zn 0.250 0.750 0.250
Zn 0.750 0.250 0.250
Zn 0.750 0.750 0.750
Ga 0.000 0.000 0.500
Ga 0.000 0.500 0.000
Ga 0.500 0.000 0.000
Ga 0.500 0.500 0.500